*A*
GGA-PBE CaInFe3, relaxed; mass density = 5.45 Mg/m³; V = 19.63 Å³/atom; Fermi-level density of states = 1.4578 states/eV/atom; space-group type = No. 221
1.0
-1.230 4.275 1.221
-2.587 -1.719 3.411
3.616 0.224 2.855
Fe Ca In
3 1 1
Direct
0.000 0.000 0.500
0.000 0.500 0.000
0.500 0.000 0.000
0.000 0.000 0.000
0.500 0.500 0.500

*B*
GGA-PBE CaInFe3, relaxed; mass density = 4.57 Mg/m³; V = 23.44 Å³/atom; Fermi-level density of states = 2.2416 states/eV/atom; space-group type = No. 221
1.0
-1.850 -4.523 -0.251
2.214 -0.666 -4.313
3.952 -1.745 2.298
Fe In Ca
3 1 1
Direct
0.500 0.000 0.000
0.000 0.000 0.500
0.000 0.500 0.000
0.000 0.000 0.000
0.500 0.500 0.500

The most stable arrangement is *B*, and the next structure is 625 meV per atom less stable.

*A*
GGA-PBE CaIn3Fe, relaxed; mass density = 3.76 Mg/m³; V = 38.90 Å³/atom; Fermi-level density of states = 2.1199 states/eV/atom; space-group type = No. 221
1.0
-2.570 -3.732 -3.610
3.742 -4.124 1.599
-3.600 -1.623 4.240
In Ca Fe
3 1 1
Direct
0.000 0.500 0.000
0.500 0.000 0.000
0.000 0.000 0.500
0.000 0.000 0.000
0.500 0.500 0.500

*B*
GGA-PBE CaIn3Fe, relaxed; mass density = 5.81 Mg/m³; V = 25.16 Å³/atom; Fermi-level density of states = 0.3949 states/eV/atom; space-group type = No. 221
1.0
5.010 0.000 0.000
0.000 5.010 0.000
0.000 0.000 5.010
Fe In Ca
1 3 1
Direct
0.000 0.000 0.000
0.500 0.000 0.000
0.000 0.000 0.500
0.000 0.500 0.000
0.500 0.500 0.500

The most stable arrangement is *B*, and the next structure is 1303 meV per atom less stable.

*A*
GGA-PBE CaFe3Ir, relaxed; mass density = 6.28 Mg/m³; V = 21.16 Å³/atom; Fermi-level density of states = 0.8591 states/eV/atom; space-group type = No. 221
1.0
-0.349 2.984 3.653
-0.868 -3.641 2.892
4.636 -0.457 0.816
Fe Ca Ir
3 1 1
Direct
0.500 0.000 0.000
0.000 0.500 0.000
0.000 0.000 0.500
0.500 0.500 0.500
0.000 0.000 0.000

*B*
GGA-PBE CaFe3Ir, relaxed; mass density = 8.10 Mg/m³; V = 16.40 Å³/atom; Fermi-level density of states = 1.8023 states/eV/atom; space-group type = No. 221
1.0
-1.365 -1.418 -3.873
-1.518 -3.620 1.860
-3.835 1.938 0.642
Ca Fe Ir
1 3 1
Direct
0.000 0.000 0.000
0.000 0.500 0.000
0.000 0.000 0.500
0.500 0.000 0.000
0.500 0.500 0.500

The most stable arrangement is *A*, and the next structure is 1364 meV per atom less stable.

*A*
GGA-PBE CaFe2Ir2, relaxed; mass density = 12.13 Mg/m³; V = 14.68 Å³/atom; Fermi-level density of states = 1.4615 states/eV/atom; space-group type = No. 127
1.0
7.382 0.000 0.000
0.000 7.382 0.000
0.000 0.000 2.694
Ir Fe Ca
4 4 2
Direct
0.822 0.322 0.500
0.322 0.178 0.500
0.678 0.822 0.500
0.178 0.678 0.500
0.885 0.615 0.000
0.115 0.385 0.000
0.385 0.885 0.000
0.615 0.115 0.000
0.000 0.000 0.000
0.500 0.500 0.000

*B*
GGA-PBE CaFe2Ir2, relaxed; mass density = 10.59 Mg/m³; V = 16.81 Å³/atom; Fermi-level density of states = 1.1739 states/eV/atom; space-group type = No. 139
1.0
4.162 0.000 0.000
0.000 4.162 0.000
2.081 2.081 4.852
Fe Ir Ca
2 2 1
Direct
0.385 0.385 0.230
0.615 0.615 0.770
0.250 0.750 0.500
0.750 0.250 0.500
0.000 0.000 0.000

The most stable arrangement is *B*, and the next structure is 13 meV per atom less stable.

*A*
GGA-PBE KCaFe3, relaxed; mass density = 2.79 Mg/m³; V = 29.41 Å³/atom; Fermi-level density of states = 2.8798 states/eV/atom; space-group type = No. 221
1.0
5.278 0.000 0.000
0.000 5.278 0.000
0.000 0.000 5.278
K Fe Ca
1 3 1
Direct
0.500 0.500 0.500
0.500 0.000 0.000
0.000 0.500 0.000
0.000 0.000 0.500
0.000 0.000 0.000

*B*
GGA-PBE KCaFe3, relaxed; mass density = 3.38 Mg/m³; V = 24.27 Å³/atom; Fermi-level density of states = 1.9250 states/eV/atom; space-group type = No. 221
1.0
-2.667 3.827 1.660
-3.772 -1.371 -2.899
-1.781 -2.827 3.654
Fe K Ca
3 1 1
Direct
0.500 0.000 0.000
0.000 0.500 0.000
0.000 0.000 0.500
0.000 0.000 0.000
0.500 0.500 0.500

The most stable arrangement is *A*, and the next structure is 216 meV per atom less stable.

*A*
GGA-PBE CaLaFe, relaxed; mass density = 4.60 Mg/m³; V = 28.27 Å³/atom; Fermi-level density of states = 2.0246 states/eV/atom; space-group type = No. 216
1.0
4.932 0.000 0.000
2.466 4.271 0.000
2.466 1.424 4.027
Fe La Ca
1 1 1
Direct
0.500 0.500 0.500
0.250 0.250 0.250
0.000 0.000 0.000

*B*
GGA-PBE CaLaFe, relaxed; mass density = 4.65 Mg/m³; V = 27.95 Å³/atom; Fermi-level density of states = 1.7438 states/eV/atom; space-group type = No. 107
1.0
-6.788 -1.400 1.467
-5.918 -1.751 -3.477
6.914 -0.862 1.277
Fe Ca La
1 1 1
Direct
0.325 0.325 0.000
0.965 0.965 0.000
0.710 0.710 0.000

The most stable arrangement is *B*, and the next structure is 753 meV per atom less stable.